1.
Crystalline Sc2Zn2Cd3 at its relaxed geometry. Source: Alexandria, functional PBE.

magnetization = 0.0 μB/cell
E_form = -1.42 eV per formula unit
offset from the most stable computed form = 0.00 eV per formula unit
energy = -2.7682 eV per atom

Structure (CIF):
```
data_Sc2Zn2Cd3
_chemical_formula_sum 'Sc4 Zn4 Cd6'
_cell_length_a 10.222
_cell_length_b 4.121
_cell_length_c 7.353
_cell_angle_alpha 90.00
_cell_angle_beta 113.43
_cell_angle_gamma 90.00
_space_group_name_H-M_alt 'C 1 2/m 1'
_space_group_IT_number 12
loop_
_space_group_symop_operation_xyz
'x,y,z'
'-x,-y,-z'
'-x,y,-z'
'x,-y,z'
'x+1/2,y+1/2,z'
'-x+1/2,-y+1/2,-z'
'-x+1/2,y+1/2,-z'
'x+1/2,-y+1/2,z'
loop_
_atom_site_label
_atom_site_type_symbol
_atom_site_fract_x
_atom_site_fract_y
_atom_site_fract_z
Sc1 Sc 0.144 0.000 0.294
Zn1 Zn 0.161 0.000 0.696
Cd1 Cd 0.000 0.500 0.500
Cd2 Cd 0.119 0.500 0.940
```

2.
Crystalline NaMnBr4 at its relaxed geometry. Source: Alexandria, functional PBE.

magnetization = 16.0 μB/cell
offset from the most stable computed form = 0.00 eV per formula unit
energy = -3.8095 eV per atom

Structure (CIF):
```
data_NaMnBr4
_chemical_formula_sum 'Na4 Mn4 Br16'
_cell_length_a 16.776
_cell_length_b 4.021
_cell_length_c 13.955
_cell_angle_alpha 90.00
_cell_angle_beta 125.23
_cell_angle_gamma 90.00
_space_group_name_H-M_alt 'C 1 2/c 1'
_space_group_IT_number 15
loop_
_space_group_symop_operation_xyz
'x,y,z'
'-x,-y,-z'
'-x,y,-z+1/2'
'x,-y,z+1/2'
'x+1/2,y+1/2,z'
'-x+1/2,-y+1/2,-z'
'-x+1/2,y+1/2,-z+1/2'
'x+1/2,-y+1/2,z+1/2'
loop_
_atom_site_label
_atom_site_type_symbol
_atom_site_fract_x
_atom_site_fract_y
_atom_site_fract_z
Na1 Na 0.000 0.245 0.250
Mn1 Mn 0.250 0.250 0.000
Br1 Br 0.081 0.251 0.940
Br2 Br 0.210 0.163 0.347
```